This record from Alexandria describes a relaxed structure of Ho4Ga6Ru7. The functional is PBE-GGA.

Results
As for the volume: 293.9 Å³/f.u. Its energy of formation is -0.433 eV per atom. As for the density: 10.1 g cm⁻³. For the total energy, the calculation gives -217.53 eV for the cell shown.

abc: 8.376 8.376 8.376
angles: 90.00 90.00 90.00
Space group Im-3m (No. 229)
Symmetry-distinct sites (fractional):
Ho  0.250  0.250  0.250 (multiplicity 8)
Ga  0.000  0.000  0.310 (multiplicity 12)
Ru  0.000  0.000  0.000 (multiplicity 2)
Ru  0.000  0.250  0.500 (multiplicity 12)